Record 1
Material: Y2TiZn2Pd5
Method: DFT, PBE
State: optimized geometry

Cell and atoms, written as POSCAR:
```
Y2TiZn2Pd5
1.0
3.727 0.000 0.000
0.000 9.767 0.000
0.000 0.000 9.767
Zn Pd Y Ti
4 10 4 2
Direct
0.000 0.623 0.877
0.000 0.377 0.123
0.000 0.123 0.623
0.000 0.877 0.377
0.500 0.700 0.438
0.500 0.500 0.000
0.500 0.562 0.700
0.500 0.438 0.300
0.500 0.800 0.938
0.500 0.062 0.800
0.500 0.000 0.500
0.500 0.300 0.562
0.500 0.938 0.200
0.500 0.200 0.062
0.000 0.325 0.825
0.000 0.175 0.325
0.000 0.825 0.675
0.000 0.675 0.175
0.000 0.000 0.000
0.000 0.500 0.500
```

Output
**E_tot**: -112.3 eV/cell
**Mass density**: 8.3 g/cm3
**Magnetization**: 0.00 μB per cell

***

Record 2
Material: Na2TlCuSn
Method: DFT, PBE
State: optimized geometry

Cell and atoms, written as POSCAR:
```
Na2TlCuSn
1.0
5.858 0.000 0.000
0.000 4.868 0.000
0.000 0.000 5.858
Sn Cu Na Tl
1 1 2 1
Direct
0.000 0.000 0.000
0.000 0.500 0.000
0.000 0.000 0.500
0.500 0.000 0.000
0.500 0.500 0.500
```

Output
**Mass density**: 4.3 g/cm3
**Magnetization**: 0.00 μB per cell
**Energy relative to the lowest polymorph listed for this composition**: 154 meV/atom

***

Record 3
Material: Tb6Pm3Tl
Method: DFT, PBE
State: optimized geometry

Cell and atoms, written as POSCAR:
```
Tb6Pm3Tl
1.0
-2.164 2.775 -0.279
-3.858 -1.789 12.143
11.154 8.897 1.957
Pm Tb Tl
6 12 2
Direct
0.750 0.632 0.504
0.250 0.368 0.496
0.250 0.925 0.898
0.250 0.578 0.098
0.750 0.422 0.902
0.750 0.075 0.102
0.250 0.190 0.922
0.750 0.773 0.715
0.250 0.244 0.689
0.750 0.810 0.078
0.250 0.891 0.539
0.750 0.756 0.311
0.750 0.342 0.117
0.250 0.227 0.285
0.250 0.658 0.883
0.750 0.109 0.461
0.250 0.512 0.309
0.750 0.488 0.691
0.250 0.965 0.274
0.750 0.035 0.726
```

Output
**Mass density**: 8.2 g/cm3
**Magnetization**: 0.00 μB per cell
**Energy relative to the lowest polymorph listed for this composition**: 0 meV/atom

***

Record 4
Material: TeIr4Ru
Method: DFT, PBE
State: optimized geometry

Cell and atoms, written as POSCAR:
```
TeIr4Ru
1.0
0.000 3.709 3.709
3.709 0.000 3.709
3.709 3.709 0.000
Ru Te Ir
1 1 4
Direct
0.750 0.750 0.750
0.000 0.000 0.000
0.376 0.376 0.873
0.376 0.873 0.376
0.376 0.376 0.376
0.873 0.376 0.376
```

Output
**Mass density**: 16.2 g/cm3
**Magnetization**: 2.98 μB per cell
**ΔE_f (raw)**: 0.7294 eV/atom

***

Record 5
Material: Tb5AgPt2
Method: DFT, PBE
State: optimized geometry

Cell and atoms, written as POSCAR:
```
Tb5AgPt2
1.0
-7.753 -0.747 -1.200
0.577 -7.780 1.116
2.505 5.111 6.507
Tb Pt Ag
10 4 2
Direct
0.701 0.201 0.723
0.500 0.500 0.000
0.478 0.299 0.277
0.978 0.478 0.277
0.522 0.701 0.723
0.000 0.000 0.000
0.201 0.022 0.723
0.022 0.522 0.723
0.799 0.978 0.277
0.299 0.799 0.277
0.636 0.136 0.000
0.136 0.364 0.000
0.364 0.864 0.000
0.864 0.636 0.000
0.250 0.250 0.500
0.750 0.750 0.500
```

Output
**E_tot**: -88.2 eV/cell
**Mass density**: 10.5 g/cm3
**Magnetization**: 0.00 μB per cell

***

Record 6
Material: Pm7Nd3Dy2
Method: DFT, PBE
State: optimized geometry

Cell and atoms, written as POSCAR:
```
Pm7Nd3Dy2
1.0
-1.108 -1.426 3.144
5.515 -1.969 1.050
3.206 16.783 8.744
Nd Pm Dy
3 7 2
Direct
0.500 0.500 0.000
0.000 0.218 0.366
0.000 0.782 0.634
0.000 0.315 0.855
0.500 0.257 0.536
0.000 0.000 0.000
0.500 0.743 0.464
0.500 0.813 0.820
0.000 0.685 0.145
0.500 0.187 0.180
0.500 0.291 0.705
0.500 0.709 0.295
```

Output
**Mass density**: 7.1 g/cm3
**Magnetization**: 0.00 μB per cell
**Energy relative to the lowest polymorph listed for this composition**: 0 meV/atom

***

Record 7
Material: Dy2Ag4Pd3
Method: DFT, PBE
State: optimized geometry

Cell and atoms, written as POSCAR:
```
Dy2Ag4Pd3
1.0
4.125 0.000 0.883
1.886 4.883 1.268
0.340 -0.086 8.491
Ag Pd Dy
4 3 2
Direct
0.333 0.445 0.890
0.002 0.334 0.661
0.667 0.555 0.110
0.998 0.666 0.339
0.660 0.234 0.445
0.000 0.000 0.000
0.340 0.766 0.555
0.330 0.104 0.235
0.670 0.896 0.765
```

Output
**E_tot**: -40.5 eV/cell
**Mass density**: 10.5 g/cm3
**Magnetization**: 0.00 μB per cell

***

Record 8
Material: TeSe2F
Method: DFT, PBE
State: optimized geometry

Cell and atoms, written as POSCAR:
```
TeSe2F
1.0
8.772 0.000 0.000
0.000 8.772 0.000
4.386 4.386 2.468
Te Se F
2 4 2
Direct
0.750 0.250 0.500
0.000 0.000 0.000
0.082 0.625 0.250
0.875 0.918 0.750
0.668 0.125 0.250
0.375 0.332 0.750
0.250 0.750 0.500
0.500 0.500 0.000
```

Output
**Mass density**: 5.3 g/cm3
**Magnetization**: 0.00 μB per cell
**ΔE_f (raw)**: -0.3387 eV/atom
**Energy relative to the lowest polymorph listed for this composition**: 0 meV/atom

***

Record 9
Material: HoErAu2
Method: DFT, PBE
State: optimized geometry

Cell and atoms, written as POSCAR:
```
HoErAu2
1.0
5.061 0.000 0.000
2.530 4.383 0.000
2.530 1.461 4.132
Au Er Ho
2 1 1
Direct
0.750 0.750 0.750
0.250 0.250 0.250
0.500 0.500 0.500
0.000 0.000 0.000
```

Output
**Mass density**: 13.2 g/cm3
**Magnetization**: 0.00 μB per cell
**Energy relative to the lowest polymorph listed for this composition**: 22 meV/atom

***

Record 10
Material: GaSiHPb2
Method: DFT, PBE
State: optimized geometry

Cell and atoms, written as POSCAR:
```
GaSiHPb2
1.0
5.644 0.000 0.000
0.000 4.838 0.000
0.000 0.000 5.644
Pb H Ga Si
2 1 1 1
Direct
0.500 0.000 0.000
0.000 0.000 0.500
0.500 0.500 0.500
0.000 0.500 0.000
0.000 0.000 0.000
```

Output
**E_tot**: -15.0 eV/cell
**Mass density**: 5.5 g/cm3
**Magnetization**: 0.00 μB per cell

***

Record 11
Material: NaLi2NiBr
Method: DFT, PBE
State: optimized geometry

Cell and atoms, written as POSCAR:
```
NaLi2NiBr
1.0
5.378 0.000 0.000
0.000 4.681 0.000
0.000 0.000 5.378
Li Ni Na Br
2 1 1 1
Direct
0.000 0.000 0.500
0.500 0.000 0.000
0.000 0.500 0.000
0.000 0.000 0.000
0.500 0.500 0.500
```

Output
**Mass density**: 2.2 g/cm3
**Magnetization**: 0.42 μB per cell
**ΔE_f (raw)**: 0.4947 eV/atom

***

Record 12
Material: Ce2YRh2
Method: DFT, PBE
State: optimized geometry

Cell and atoms, written as POSCAR:
```
Ce2YRh2
1.0
4.436 -0.234 0.391
-1.171 4.285 0.391
-0.550 -0.682 5.861
Rh Ce Y
2 2 1
Direct
0.500 0.500 0.756
0.500 0.500 0.244
0.806 0.194 0.500
0.194 0.806 0.500
0.000 0.000 0.000
```

Output
**Mass density**: 8.5 g/cm3
**Magnetization**: 0.00 μB per cell
**Energy relative to the lowest polymorph listed for this composition**: 348 meV/atom

***

Record 13
Material: TbGdIrOs
Method: DFT, PBE
State: optimized geometry

Cell and atoms, written as POSCAR:
```
TbGdIrOs
1.0
-3.546 -0.234 3.321
-3.817 -2.927 -0.720
-0.537 -4.005 2.706
Ir Gd Tb Os
1 1 1 1
Direct
0.250 0.250 0.250
0.500 0.500 0.500
0.000 0.000 0.000
0.750 0.750 0.750
```

Output
**E_tot**: -40.3 eV/cell
**Mass density**: 14.3 g/cm3
**Magnetization**: 7.03 μB per cell

***

Record 14
Material: Tb4PmTe5
Method: DFT, PBE
State: optimized geometry

Cell and atoms, written as POSCAR:
```
Tb4PmTe5
1.0
-3.873 -1.310 -1.543
1.830 -3.690 -1.460
-2.088 -4.469 15.218
Tb Te Pm
4 5 1
Direct
0.207 0.207 0.414
0.405 0.405 0.809
0.793 0.793 0.586
0.595 0.595 0.191
0.695 0.695 0.390
0.104 0.104 0.208
0.305 0.305 0.610
0.500 0.500 0.000
0.896 0.896 0.792
0.000 0.000 0.000
```

Output
**Mass density**: 7.9 g/cm3
**Magnetization**: 0.00 μB per cell
**ΔE_f (raw)**: -1.3299 eV/atom

***

Record 15
Material: Dy3HoHg
Method: DFT, PBE
State: optimized geometry

Cell and atoms, written as POSCAR:
```
Dy3HoHg
1.0
-2.667 -5.376 -2.912
3.874 -1.492 5.222
-4.805 4.890 5.370
Dy Ho Hg
6 2 2
Direct
0.769 0.590 0.859
0.731 0.910 0.141
0.269 0.090 0.859
0.231 0.410 0.141
0.821 0.439 0.261
0.179 0.561 0.739
0.679 0.061 0.740
0.321 0.939 0.260
0.748 0.752 0.500
0.252 0.248 0.500
```

Output
**E_tot**: -38.6 eV/cell
**Mass density**: 9.4 g/cm3
**Magnetization**: 0.00 μB per cell

***

Record 16
Material: SbRh2Br
Method: DFT, PBE
State: optimized geometry

Cell and atoms, written as POSCAR:
```
SbRh2Br
1.0
-1.811 1.241 2.362
-4.438 -2.577 -2.049
0.841 -3.368 2.415
Rh Br Sb
2 1 1
Direct
0.500 0.500 0.000
0.000 0.000 0.000
0.000 0.500 0.500
0.500 0.000 0.500
```

Output
**Mass density**: 9.0 g/cm3
**Magnetization**: 0.00 μB per cell
**ΔE_f (raw)**: 0.3448 eV/atom
**Energy relative to the lowest polymorph listed for this composition**: 502 meV/atom

***

Record 17
Material: Ag3Te2S
Method: DFT, PBE
State: optimized geometry

Cell and atoms, written as POSCAR:
```
Ag3Te2S
1.0
5.721 0.000 0.000
0.000 7.966 0.015
-2.861 -1.981 6.016
Ag Te S
6 4 2
Direct
0.148 0.074 0.294
0.501 0.750 0.000
0.499 0.250 0.000
0.146 0.574 0.294
0.854 0.426 0.706
0.852 0.926 0.706
0.330 0.416 0.658
0.670 0.584 0.342
0.328 0.916 0.658
0.672 0.084 0.342
0.999 0.250 0.000
0.001 0.750 0.000
```

Output
**Mass density**: 7.4 g/cm3
**Magnetization**: 0.00 μB per cell
**ΔE_f (raw)**: 0.0550 eV/atom

***

Record 18
Material: Pm3Sm2DyTm6
Method: DFT, PBE
State: optimized geometry

Cell and atoms, written as POSCAR:
```
Pm3Sm2DyTm6
1.0
-3.238 2.079 -4.824
-2.890 -2.799 4.679
0.720 10.386 5.304
Tm Pm Dy Sm
6 3 1 2
Direct
0.584 0.917 0.751
0.917 0.584 0.751
0.250 0.250 0.751
0.083 0.416 0.249
0.416 0.083 0.249
0.750 0.750 0.249
0.167 0.833 0.500
0.833 0.167 0.500
0.500 0.500 0.500
0.000 0.000 0.000
0.666 0.334 0.000
0.334 0.666 0.000
```

Output
**E_tot**: -54.9 eV/cell
**Mass density**: 8.4 g/cm3
**Magnetization**: 0.00 μB per cell

***

Record 19
Material: KErSn2I8
Method: DFT, PBE
State: optimized geometry

Cell and atoms, written as POSCAR:
```
KErSn2I8
1.0
7.762 0.054 -0.005
0.105 7.288 -0.006
0.007 0.014 9.577
I Er Sn K
8 1 2 1
Direct
0.322 0.236 0.000
0.635 0.729 0.500
0.678 0.764 0.000
0.365 0.271 0.500
0.155 0.753 0.222
0.156 0.754 0.779
0.844 0.246 0.221
0.845 0.247 0.778
0.000 0.000 0.000
0.500 0.500 0.249
0.500 0.500 0.751
0.000 0.000 0.500
```

Output
**Mass density**: 4.5 g/cm3
**Magnetization**: 0.00 μB per cell
**ΔE_f (raw)**: -0.9150 eV/atom

***

Record 20
Material: Dy2TlAg3
Method: DFT, PBE
State: optimized geometry

Cell and atoms, written as POSCAR:
```
Dy2TlAg3
1.0
5.815 -0.966 0.000
-1.191 5.773 0.000
-2.312 -2.404 8.515
Ag Dy Tl
6 4 2
Direct
0.672 0.165 0.837
0.165 0.672 0.837
0.328 0.835 0.163
0.165 0.165 0.331
0.835 0.835 0.669
0.835 0.328 0.163
0.755 0.755 0.000
0.250 0.750 0.500
0.750 0.250 0.500
0.245 0.245 0.000
0.334 0.334 0.667
0.666 0.666 0.333
```

Output
**Mass density**: 10.3 g/cm3
**Magnetization**: 0.00 μB per cell
**Energy relative to the lowest polymorph listed for this composition**: 0 meV/atom

***

Record 21
Material: Sm3Dy4Sc4
Method: DFT, PBE
State: optimized geometry

Cell and atoms, written as POSCAR:
```
Sm3Dy4Sc4
1.0
5.498 0.000 0.000
-2.749 5.882 0.000
0.000 0.000 10.230
Sc Dy Sm
4 4 3
Direct
0.762 0.525 0.214
0.762 0.525 0.786
0.895 0.790 0.500
0.947 0.894 0.000
0.095 0.190 0.280
0.095 0.190 0.720
0.633 0.266 0.500
0.556 0.113 0.000
0.258 0.515 0.000
0.397 0.795 0.693
0.397 0.795 0.307
```

Output
**E_tot**: -56.3 eV/cell
**Mass density**: 6.4 g/cm3
**Magnetization**: 0.00 μB per cell

***

Record 22
Material: Si2BRh
Method: DFT, PBE
State: optimized geometry

Cell and atoms, written as POSCAR:
```
Si2BRh
1.0
5.032 0.000 0.000
0.000 5.032 0.000
2.516 2.516 4.948
Si B Rh
4 2 2
Direct
0.375 0.430 0.750
0.570 0.125 0.250
0.875 0.820 0.750
0.180 0.625 0.250
0.500 0.500 0.000
0.250 0.750 0.500
0.000 0.000 0.000
0.750 0.250 0.500
```

Output
**Mass density**: 4.5 g/cm3
**Magnetization**: 0.00 μB per cell
**ΔE_f (raw)**: 0.1059 eV/atom

***

Record 23
Material: CaInGe
Method: DFT, PBE
State: optimized geometry

Cell and atoms, written as POSCAR:
```
CaInGe
1.0
4.425 -0.068 0.276
-0.069 4.425 -0.276
0.513 -0.513 8.049
Ca Ge In
2 2 2
Direct
0.273 0.727 0.347
0.727 0.273 0.653
0.800 0.200 0.270
0.200 0.800 0.730
0.260 0.260 0.000
0.740 0.740 0.000
```

Output
**E_tot**: -20.7 eV/cell
**Mass density**: 4.8 g/cm3
**Magnetization**: 0.00 μB per cell